Entry from the Alexandria database: AgSbOs4 after structural relaxation (PBE-GGA).

Cell lengths 5.276, 5.276, 5.276 Å; angles 60.00, 60.00, 60.00 degrees
Atoms (fractional coordinates):
Os 0.375 0.375 0.875
Os 0.875 0.375 0.375
Sb 0.750 0.750 0.750
Os 0.375 0.375 0.375
Ag 0.000 0.000 0.000
Os 0.375 0.875 0.375

Calculated values
M_tot: 0.1 μB per formula unit
Formation energy (no corrections): 0.925 eV/atom
N(E_F): 9.07 states/eV/cell
Calculated density: 15838 kg/m³

Entry from the Alexandria database: La6InIr2I3 after structural relaxation (PBE-GGA).

Cell lengths 4.308, 9.769, 10.564 Å; angles 108.96, 101.76, 90.00 degrees
Atoms (fractional coordinates):
La 0.316 0.444 0.632
La 0.973 0.743 0.946
Ir 0.171 0.344 0.342
Ir 0.829 0.656 0.658
I 0.161 0.840 0.322
La 0.665 0.140 0.330
La 0.335 0.860 0.670
La 0.027 0.257 0.054
I 0.500 0.500 0.000
La 0.684 0.556 0.368
I 0.839 0.160 0.678
In 0.500 0.000 0.000

Calculated values
M_tot: 0.0 μB per formula unit
Formation energy (no corrections): -0.967 eV/atom
N(E_F): 6.62 states/eV/cell
Calculated density: 6930 kg/m³